1.
First-principles (PBE) data for a relaxed TiVNiRh crystal, as listed in Alexandria.

```
4
Lattice="0.0000 3.0280 3.0280 3.0280 0.0000 3.0280 3.0280 3.0280 0.0000" Properties=species:S:1:pos:R:3 pbc="T T T"
Ti 0.0000 0.0000 0.0000
V 3.0280 3.0280 3.0280
Ni 1.5140 1.5140 1.5140
Rh 4.5420 4.5420 4.5420
```

As for the energy: -7.8327 eV/atom. The crystal system is cubic. The calculation puts the formation energy at -114 kJ/mol of formula units.

2.
First-principles (PBE) data for a relaxed TiZnNiRh crystal, as listed in Alexandria.

```
4
Lattice="0.0000 3.0084 3.0084 3.0084 0.0000 3.0084 3.0084 3.0084 0.0000" Properties=species:S:1:pos:R:3 pbc="T T T"
Ti 0.0000 0.0000 0.0000
Zn 3.0084 3.0084 3.0084
Ni 4.5125 4.5125 4.5125
Rh 1.5042 1.5042 1.5042
```

As for the energy: -6.1134 eV/atom. The crystal system is cubic. The calculation puts the formation energy at -208 kJ/mol of formula units. As for the energy above the most stable polymorph in this dataset: 29 meV per atom.

3.
First-principles (PBE) data for a relaxed TiZnNiRh crystal, as listed in Alexandria.

```
4
Lattice="-1.9895 1.9895 3.4234 1.9895 -1.9895 3.4234 1.9895 1.9895 -3.4234" Properties=species:S:1:pos:R:3 pbc="T T T"
Ti 0.0000 0.0000 0.0000
Zn 0.0000 0.0000 3.4234
Ni 1.9895 0.0000 1.7117
Rh 0.0000 1.9895 1.7117
```

As for the energy: -6.1421 eV/atom. The crystal system is tetragonal. The calculation puts the formation energy at -219 kJ/mol of formula units. As for the energy above the most stable polymorph in this dataset: 0 meV per atom.

4.
First-principles (PBE) data for a relaxed ZrTiNiRh crystal, as listed in Alexandria.

```
4
Lattice="0.0000 3.1757 3.1757 3.1757 0.0000 3.1757 3.1757 3.1757 0.0000" Properties=species:S:1:pos:R:3 pbc="T T T"
Zr 0.0000 0.0000 0.0000
Ti 3.1757 3.1757 3.1757
Ni 1.5879 1.5879 1.5879
Rh 4.7636 4.7636 4.7636
```

As for the energy: -7.9073 eV/atom. The crystal system is cubic. The calculation puts the formation energy at -198 kJ/mol of formula units.

5.
First-principles (PBE) data for a relaxed Tl2Ni2Rh crystal, as listed in Alexandria.

```
10
Lattice="7.0192 0.0000 0.0000 0.0000 7.0192 0.0000 0.0000 0.0000 3.3583" Properties=species:S:1:pos:R:3 pbc="T T T"
Tl 1.2476 2.2620 0.0000
Tl 2.2620 5.7716 0.0000
Tl 4.7572 1.2476 0.0000
Tl 5.7716 4.7572 0.0000
Ni 0.8569 4.3665 1.6791
Ni 2.6527 0.8569 1.6791
Ni 4.3665 6.1623 1.6791
Ni 6.1623 2.6527 1.6791
Rh 0.0000 0.0000 1.6791
Rh 3.5096 3.5096 1.6791
```

As for the energy: -4.4255 eV/atom. The crystal system is tetragonal. The calculation puts the formation energy at 147 kJ/mol of formula units.

6.
First-principles (PBE) data for a relaxed TlNiRh4 crystal, as listed in Alexandria.

```
6
Lattice="0.0000 3.6552 3.6552 3.6552 0.0000 3.6552 3.6552 3.6552 0.0000" Properties=species:S:1:pos:R:3 pbc="T T T"
Tl 0.0000 0.0000 0.0000
Ni 5.4828 5.4828 5.4828
Rh 2.7438 2.7438 2.7438
Rh 4.5666 4.5666 2.7438
Rh 4.5666 2.7438 4.5666
Rh 2.7438 4.5666 4.5666
```

As for the energy: -5.8315 eV/atom. The crystal system is cubic. The calculation puts the formation energy at 247 kJ/mol of formula units.

7.
First-principles (PBE) data for a relaxed Tl2NiRh2 crystal, as listed in Alexandria.

```
10
Lattice="6.6073 0.0000 0.0000 0.0000 6.6073 0.0000 0.0000 0.0000 4.1527" Properties=species:S:1:pos:R:3 pbc="T T T"
Tl 1.1330 2.1706 0.0000
Tl 2.1706 5.4743 0.0000
Tl 4.4367 1.1330 0.0000
Tl 5.4743 4.4367 0.0000
Ni 0.0000 0.0000 2.0764
Ni 3.3037 3.3037 2.0764
Rh 0.9196 4.2232 2.0764
Rh 2.3841 0.9196 2.0764
Rh 4.2232 5.6878 2.0764
Rh 5.6878 2.3841 2.0764
```

As for the energy: -4.8488 eV/atom. The crystal system is tetragonal. The calculation puts the formation energy at 94 kJ/mol of formula units.

8.
First-principles (PBE) data for a relaxed TlNiRh crystal, as listed in Alexandria.

```
3
Lattice="-1.5810 1.5810 4.7472 1.5810 -1.5810 4.7472 1.5810 1.5810 -4.7472" Properties=species:S:1:pos:R:3 pbc="T T T"
Tl 0.0000 0.0000 0.0000
Ni 0.0000 0.0000 6.3370
Rh 0.0000 0.0000 2.9851
```

As for the energy: -4.9096 eV/atom. The crystal system is tetragonal. The calculation puts the formation energy at 74 kJ/mol of formula units. As for the energy above the most stable polymorph in this dataset: 0 meV per atom.

9.
First-principles (PBE) data for a relaxed TlNi3Rh crystal, as listed in Alexandria.

```
5
Lattice="4.5895 0.0000 0.0000 0.0000 4.5895 0.0000 0.0000 0.0000 4.5895" Properties=species:S:1:pos:R:3 pbc="T T T"
Tl 0.0000 0.0000 0.0000
Ni 0.0000 2.2947 2.2947
Ni 2.2947 0.0000 2.2947
Ni 2.2947 2.2947 0.0000
Rh 2.2947 2.2947 2.2947
```

As for the energy: -4.4236 eV/atom. The crystal system is cubic. The calculation puts the formation energy at 477 kJ/mol of formula units. As for the energy above the most stable polymorph in this dataset: 0 meV per atom.

10.
First-principles (PBE) data for a relaxed Tl4NiRh crystal, as listed in Alexandria.

```
6
Lattice="0.0000 4.2808 4.2808 4.2808 0.0000 4.2808 4.2808 4.2808 0.0000" Properties=species:S:1:pos:R:3 pbc="T T T"
Tl 1.0711 1.0711 1.0711
Tl 3.2097 3.2097 1.0711
Tl 3.2097 1.0711 3.2097
Tl 1.0711 3.2097 3.2097
Ni 6.4212 6.4212 6.4212
Rh 4.2808 4.2808 4.2808
```

As for the energy: -2.7851 eV/atom. The crystal system is cubic. The calculation puts the formation energy at 568 kJ/mol of formula units.

11.
First-principles (PBE) data for a relaxed TlNiRh crystal, as listed in Alexandria.

```
3
Lattice="4.2806 0.0000 0.0000 -2.1403 3.7071 0.0000 0.0000 0.0000 3.0994" Properties=species:S:1:pos:R:3 pbc="T T T"
Tl 0.0000 0.0000 0.0000
Ni 2.1403 1.2357 1.5497
Rh 0.0000 2.4714 1.5497
```

As for the energy: -4.8711 eV/atom. The crystal system is hexagonal. The calculation puts the formation energy at 85 kJ/mol of formula units. As for the energy above the most stable polymorph in this dataset: 39 meV per atom.

12.
First-principles (PBE) data for a relaxed TlNiRh crystal, as listed in Alexandria.

```
3
Lattice="3.0381 0.0000 0.0000 -1.5190 2.6311 0.0000 0.0000 0.0000 6.2699" Properties=species:S:1:pos:R:3 pbc="T T T"
Tl 0.0000 0.0000 0.0000
Ni 1.5190 0.8770 2.1431
Rh 0.0000 1.7540 3.9968
```

As for the energy: -4.7428 eV/atom. The crystal system is trigonal. The calculation puts the formation energy at 123 kJ/mol of formula units. As for the energy above the most stable polymorph in this dataset: 167 meV per atom.

13.
First-principles (PBE) data for a relaxed TlNiRh crystal, as listed in Alexandria.

```
3
Lattice="0.0000 2.9868 2.9868 2.9868 0.0000 2.9868 2.9868 2.9868 0.0000" Properties=species:S:1:pos:R:3 pbc="T T T"
Tl 0.0000 0.0000 0.0000
Ni 4.4802 4.4802 4.4802
Rh 2.9868 2.9868 2.9868
```

As for the energy: -4.8371 eV/atom. The crystal system is cubic. The calculation puts the formation energy at 95 kJ/mol of formula units. As for the energy above the most stable polymorph in this dataset: 73 meV per atom.

14.
First-principles (PBE) data for a relaxed ZrTlNiRh crystal, as listed in Alexandria.

```
4
Lattice="0.0000 3.2508 3.2508 3.2508 0.0000 3.2508 3.2508 3.2508 0.0000" Properties=species:S:1:pos:R:3 pbc="T T T"
Zr 0.0000 0.0000 0.0000
Tl 3.2508 3.2508 3.2508
Ni 1.6254 1.6254 1.6254
Rh 4.8762 4.8762 4.8762
```

As for the energy: -6.3116 eV/atom. The crystal system is cubic. The calculation puts the formation energy at -116 kJ/mol of formula units.

15.
First-principles (PBE) data for a relaxed TmNi5Rh crystal, as listed in Alexandria.

```
28
Lattice="7.8382 0.0000 0.0000 0.0000 4.8407 0.0000 0.0000 0.0000 9.8873" Properties=species:S:1:pos:R:3 pbc="T T T"
Tm 1.9122 1.2102 0.6022
Tm 2.0069 3.6305 5.5459
Tm 5.8313 1.2102 4.3414
Tm 5.9260 3.6305 9.2851
Ni 0.4746 3.6305 0.9441
Ni 0.5443 0.0213 3.0733
Ni 0.5443 2.3991 3.0733
Ni 0.7719 1.2102 5.1466
Ni 1.4207 1.2102 7.4685
Ni 2.4983 3.6305 2.5248
Ni 3.1472 3.6305 0.2029
Ni 3.3748 2.4416 8.0170
Ni 3.3748 4.8194 8.0170
Ni 3.4445 1.2102 5.8878
Ni 4.3937 3.6305 3.9996
Ni 4.4634 0.0213 1.8704
Ni 4.4634 2.3991 1.8704
Ni 4.6910 1.2102 9.6845
Ni 5.3398 1.2102 7.3625
Ni 6.4174 3.6305 2.4188
Ni 7.0663 3.6305 4.7408
Ni 7.2939 2.4416 6.8140
Ni 7.2939 4.8194 6.8140
Ni 7.3636 1.2102 8.9433
Rh 1.1120 3.6305 8.4448
Rh 2.8071 1.2102 3.5012
Rh 5.0311 3.6305 6.3862
Rh 6.7262 1.2102 1.4425
```

As for the energy: -6.0904 eV/atom. The crystal system is orthorhombic. The calculation puts the formation energy at -184 kJ/mol of formula units.

16.
First-principles (PBE) data for a relaxed Tm6NiRh5 crystal, as listed in Alexandria.

```
12
Lattice="4.7511 0.0000 0.0000 0.0000 6.8098 0.0000 -2.3533 0.0000 7.1309" Properties=species:S:1:pos:R:3 pbc="T T T"
Tm 0.0000 1.6930 0.0000
Tm 0.0000 5.1168 0.0000
Tm 0.0148 1.6960 4.7607
Tm 0.0148 5.1138 4.7607
Tm 2.3830 1.6960 2.3702
Tm 2.3830 5.1138 2.3702
Ni 2.3755 0.0000 0.0000
Rh 0.0079 0.0000 2.3718
Rh 0.0069 3.4049 2.3812
Rh 2.3755 3.4049 0.0000
Rh 2.3909 3.4049 4.7497
Rh 2.3899 0.0000 4.7591
```

As for the energy: -6.6628 eV/atom. The crystal system is monoclinic. The calculation puts the formation energy at -1021 kJ/mol of formula units.

17.
First-principles (PBE) data for a relaxed Tm4NiRh crystal, as listed in Alexandria.

```
12
Lattice="-4.5406 4.5406 3.9478 4.5406 -4.5406 3.9478 4.5406 4.5406 -3.9478" Properties=species:S:1:pos:R:3 pbc="T T T"
Tm 0.0000 1.8188 0.0000
Tm 2.6912 0.0000 1.9207
Tm 6.3900 0.0000 1.9207
Tm 4.5406 2.6912 -0.0532
Tm 0.0000 1.8494 3.8946
Tm -1.8188 4.5406 1.9739
Tm 1.8188 4.5406 1.9739
Tm 0.0000 7.2624 0.0000
Ni 0.0000 0.0000 1.9622
Ni 0.0000 4.5406 3.9361
Rh 4.5406 0.0000 3.9094
Rh 0.0000 0.0000 5.8832
```

As for the energy: -5.5686 eV/atom. The crystal system is tetragonal. The calculation puts the formation energy at -231 kJ/mol of formula units. As for the energy above the most stable polymorph in this dataset: 95 meV per atom.

18.
First-principles (PBE) data for a relaxed Tm3Ni8Rh crystal, as listed in Alexandria.

```
12
Lattice="2.4730 1.4278 8.0729 -2.4730 1.4278 8.0729 0.0000 -2.8555 8.0729" Properties=species:S:1:pos:R:3 pbc="T T T"
Tm 0.0000 0.0000 0.0000
Tm 0.0000 0.0000 3.1748
Tm 0.0000 0.0000 14.7937
Ni 0.0000 -1.4452 5.5066
Ni -1.2516 0.7226 5.5066
Ni -1.2368 -0.7141 9.5576
Ni 0.0000 0.0000 7.5246
Ni 1.2368 -0.7141 9.5576
Ni 0.0000 1.4282 9.5576
Ni 1.2516 0.7226 5.5066
Ni 0.0000 0.0000 19.6324
Rh 0.0000 0.0000 11.9218
```

As for the energy: -6.0082 eV/atom. The crystal system is trigonal. The calculation puts the formation energy at -490 kJ/mol of formula units.

19.
First-principles (PBE) data for a relaxed TmNiRh2 crystal, as listed in Alexandria.

```
4
Lattice="4.0220 0.0000 0.0000 0.0000 4.0220 0.0000 0.0000 0.0000 3.8483" Properties=species:S:1:pos:R:3 pbc="T T T"
Tm 0.0000 0.0000 0.0000
Ni 2.0110 2.0110 0.0000
Rh 0.0000 2.0110 1.9242
Rh 2.0110 0.0000 1.9242
```

As for the energy: -6.7249 eV/atom. The crystal system is tetragonal. The calculation puts the formation energy at -188 kJ/mol of formula units. As for the energy above the most stable polymorph in this dataset: 81 meV per atom.

20.
First-principles (PBE) data for a relaxed Tm3Ni7Rh2 crystal, as listed in Alexandria.

```
12
Lattice="2.4933 1.4395 8.2639 -2.4933 1.4395 8.2639 0.0000 -2.8790 8.2639" Properties=species:S:1:pos:R:3 pbc="T T T"
Tm 0.0000 0.0000 0.0000
Tm 0.0000 0.0000 3.4541
Tm 0.0000 0.0000 21.3376
Ni -1.2529 -0.7234 10.3859
Ni 0.0000 -1.4468 14.4057
Ni -1.2529 0.7234 14.4057
Ni 0.0000 0.0000 12.3958
Ni 1.2529 -0.7234 10.3859
Ni 0.0000 1.4468 10.3859
Ni 1.2529 0.7234 14.4058
Rh 0.0000 0.0000 8.2499
Rh 0.0000 0.0000 16.5417
```

As for the energy: -6.1754 eV/atom. The crystal system is trigonal. The calculation puts the formation energy at -532 kJ/mol of formula units.